1.
Below is an optimized crystal structure of Gd2YEr3CoTe2, with properties calculated at the PBE level.

The structure belongs to space group Amm2 (No. 38); the cell edges are 3.934, 14.415 and 8.300 Å and the angles 90.00°, 90.00° and 90.00°. The inequivalent atoms are Gd at (0.000, 0.200, 0.000), Y at (0.000, 0.000, 0.404), Er at (0.500, 0.000, 0.032), Er at (0.500, 0.118, 0.684), Co at (0.000, 0.000, 0.792) and Te at (0.500, 0.165, 0.300).

The calculated total energy is -5.4555 eV/atom.

2.
Below is an optimized crystal structure of GaSi2Ni, with properties calculated at the PBE level.

The structure belongs to space group F-43m (No. 216); the cell edges are 6.087, 6.087 and 6.087 Å and the angles 90.00°, 90.00° and 90.00°. The inequivalent atoms are Ga at (0.000, 0.000, 0.000), Si at (0.000, 0.000, 0.500), Si at (0.250, 0.250, 0.750) and Ni at (0.250, 0.250, 0.250).

The calculated total energy is -4.6202 eV/atom.

3.
Below is an optimized crystal structure of ErInNiSe3, with properties calculated at the PBE level.

The structure belongs to space group Cmcm (No. 63); the cell edges are 3.840, 14.180 and 10.416 Å and the angles 90.00°, 90.00° and 90.00°. The inequivalent atoms are Er at (0.000, 0.000, 0.000), In at (0.000, 0.245, 0.250), Ni at (0.000, 0.477, 0.750), Se at (0.000, 0.079, 0.750) and Se at (0.000, 0.364, 0.576).

The calculated total energy is -4.7723 eV/atom.

4.
Below is an optimized crystal structure of SrZnTc, with properties calculated at the PBE level.

The structure belongs to space group F-43m (No. 216); the cell edges are 6.729, 6.729 and 6.729 Å and the angles 90.00°, 90.00° and 90.00°. The inequivalent atoms are Sr at (0.000, 0.000, 0.000), Zn at (0.250, 0.250, 0.250) and Tc at (0.000, 0.000, 0.500).

The calculated total energy is -3.5479 eV/atom. For the energy above the most stable polymorph in this dataset, the calculation gives 0.000 eV per atom.

5.
Below is an optimized crystal structure of Dy2In, with properties calculated at the PBE level.

The structure belongs to space group Fd-3m (No. 227, origin choice 2); the cell edges are 13.242, 13.242 and 13.242 Å and the angles 90.00°, 90.00° and 90.00°. The inequivalent atoms are Dy at (0.000, 0.000, 0.000) and In at (0.125, 0.125, 0.125).

The calculated total energy is -2.4831 eV/atom.

6.
Below is an optimized crystal structure of Ag2BrCl, with properties calculated at the PBE level.

The structure belongs to space group I-4 (No. 82); the cell edges are 6.161, 6.161 and 12.423 Å and the angles 90.00°, 90.00° and 90.00°. The inequivalent atoms are Ag at (0.237, 0.251, 0.375), Br at (0.000, 0.000, 0.000), Br at (0.000, 0.500, 0.750), Cl at (0.000, 0.000, 0.500) and Cl at (0.000, 0.500, 0.250).

The calculated total energy is -2.6949 eV/atom.